Compound: DyHo2Mg
Source: Alexandria
Functional: PBE
Structure: optimized geometry

Properties
* calculated formation energy: -0.1 eV per formula unit
* energy relative to the lowest polymorph listed for this composition: 3 meV per atom
* total moment: 0.000 μB per atom

Lattice parameters (Å, degrees): 3.5614 3.5614 9.2362 90.00 90.00 90.00
Last column: nearest neighbours and their distance in Å.
Atoms (fractional coordinates):
Ho1 0.0000 0.0000 0.7639  4 Mg 3.33, 4 Dy 3.50, 4 Ho 3.56
Ho2 0.0000 0.0000 0.2361  4 Mg 3.33, 4 Dy 3.50, 4 Ho 3.56
Mg1 0.5000 0.5000 0.0000  8 Ho 3.33, 4 Mg 3.56
Dy1 0.5000 0.5000 0.5000  8 Ho 3.50, 4 Dy 3.56